Entry 1:
First-principles (GGA-PBE) data for SmGaAs after structural relaxation, as listed in the Open Quantum Materials Database.

**Excess energy over the best structure of this formula in the dataset**: 2.5 meV/atom
**Symmetry**: F-43m, No. 216
**Magnetic moment**: 0.000 μB/f.u.

a b c (Å): 4.747 4.747 4.747
angles (deg): 60.00 60.00 60.00
Fractional positions:
Sm  0.750  0.750  0.750
As  0.250  0.250  0.250
Ga  0.000  0.000  0.000

Entry 2:
First-principles (GGA-PBE) data for Cs2SmInBr6 after structural relaxation, as listed in the Open Quantum Materials Database.

**Symmetry**: Fm-3m, No. 225
**Total energy**: -3.5435 eV per atom
**Magnetic moment**: 0.002 μB/f.u.

a b c (Å): 8.488 8.488 8.488
angles (deg): 60.00 60.00 60.00
Fractional positions:
Br  0.737  0.263  0.737
In  0.000  0.000  0.000
Cs  0.250  0.250  0.250
Br  0.737  0.737  0.263
Br  0.263  0.737  0.737
Sm  0.500  0.500  0.500
Br  0.263  0.263  0.737
Br  0.263  0.737  0.263
Cs  0.750  0.750  0.750
Br  0.737  0.263  0.263

Entry 3:
First-principles (GGA-PBE) data for Na4Cd2SnGe after structural relaxation, as listed in the Open Quantum Materials Database.

**Excess energy over the best structure of this formula in the dataset**: 0.0 meV/atom
**Symmetry**: P-6m2, No. 187

a b c (Å): 4.946 4.946 9.922
angles (deg): 90.00 90.00 120.00
Fractional positions:
Na  0.000  0.000  0.836
Cd  0.667  0.333  0.000
Na  0.333  0.667  0.675
Sn  0.000  0.000  0.500
Na  0.000  0.000  0.164
Na  0.333  0.667  0.325
Ge  0.333  0.667  0.000
Cd  0.667  0.333  0.500

Entry 4:
First-principles (GGA-PBE) data for Ho2Zn17 after structural relaxation, as listed in the Open Quantum Materials Database.

**Symmetry**: P6_3/mmc, No. 194
**Magnetic moment**: 0.018 μB/f.u.
**E_form**: -0.2299 eV per atom

a b c (Å): 8.925 8.925 8.700
angles (deg): 90.00 90.00 120.00
Fractional positions:
Zn  0.329  0.365  0.250
Zn  0.500  0.000  0.000
Zn  0.667  0.333  0.601
Zn  0.839  0.677  0.480
Zn  0.365  0.036  0.750
Zn  0.000  0.500  0.000
Ho  0.333  0.667  0.750
Zn  0.000  0.500  0.500
Zn  0.839  0.677  0.020
Zn  0.635  0.964  0.250
Zn  0.677  0.839  0.980
Zn  0.323  0.161  0.480
Zn  0.500  0.500  0.000
Zn  0.161  0.839  0.980
Zn  0.161  0.323  0.520
Zn  0.161  0.323  0.980
Ho  0.667  0.333  0.250
Zn  0.677  0.839  0.520
Ho  0.000  0.000  0.750
Zn  0.333  0.667  0.101
Zn  0.036  0.365  0.250
Zn  0.671  0.635  0.750
Zn  0.161  0.839  0.520
Zn  0.333  0.667  0.399
Zn  0.671  0.036  0.750
Zn  0.323  0.161  0.020
Zn  0.667  0.333  0.899
Zn  0.500  0.500  0.500
Zn  0.635  0.671  0.250
Zn  0.329  0.964  0.250
Ho  0.000  0.000  0.250
Zn  0.964  0.329  0.750
Zn  0.036  0.671  0.250
Zn  0.839  0.161  0.480
Zn  0.365  0.329  0.750
Zn  0.500  0.000  0.500
Zn  0.964  0.635  0.750
Zn  0.839  0.161  0.020

Entry 5:
First-principles (GGA-PBE) data for PrRePb after structural relaxation, as listed in the Open Quantum Materials Database.

**Excess energy over the best structure of this formula in the dataset**: 443.6 meV/atom
**Symmetry**: F-43m, No. 216
**Magnetic moment**: 1.630 μB/f.u.

a b c (Å): 5.021 5.021 5.021
angles (deg): 60.00 60.00 60.00
Fractional positions:
Pb  0.250  0.250  0.250
Pr  0.000  0.000  0.000
Re  0.750  0.750  0.750

Entry 6:
First-principles (GGA-PBE) data for PmTmCd after structural relaxation, as listed in the Open Quantum Materials Database.

**Excess energy over the best structure of this formula in the dataset**: 0.0 meV/atom
**Symmetry**: F-43m, No. 216
**Magnetic moment**: 0.040 μB/f.u.
**E_form**: 0.4392 eV per atom

a b c (Å): 5.039 5.039 5.039
angles (deg): 60.00 60.00 60.00
Fractional positions:
Tm  0.000  0.000  0.000
Pm  0.750  0.750  0.750
Cd  0.250  0.250  0.250

Entry 7:
First-principles (GGA-PBE) data for Nb4GaAuN2 after structural relaxation, as listed in the Open Quantum Materials Database.

**Symmetry**: P-6m2, No. 187
**Total energy**: -8.5276 eV per atom
**Magnetic moment**: 0.001 μB/f.u.

a b c (Å): 3.201 3.201 13.344
angles (deg): 90.00 90.00 120.00
Fractional positions:
Nb  0.000  0.000  0.161
Nb  0.333  0.667  0.332
Nb  0.000  0.000  0.839
N  0.667  0.333  0.751
N  0.667  0.333  0.249
Nb  0.333  0.667  0.668
Au  0.000  0.000  0.500
Ga  0.333  0.667  0.000

Entry 8:
First-principles (GGA-PBE) data for Nd6Fe13Au after structural relaxation, as listed in the Open Quantum Materials Database.

**Symmetry**: I4/mcm, No. 140
**Magnetic moment**: 29.561 μB/f.u.
**E_form**: 0.3138 eV per atom

a b c (Å): 11.548 11.548 11.548
angles (deg): 134.13 134.13 66.88
Fractional positions:
Nd  0.457  0.957  0.807
Fe  0.125  0.255  0.500
Nd  0.353  0.353  0.000
Fe  0.508  0.775  0.500
Nd  0.957  0.150  0.500
Nd  0.150  0.650  0.193
Fe  0.008  0.508  0.733
Nd  0.350  0.543  0.500
Fe  0.060  0.747  0.807
Fe  0.225  0.725  0.733
Fe  0.753  0.440  0.193
Fe  0.245  0.375  0.500
Fe  0.755  0.625  0.500
Nd  0.043  0.850  0.500
Fe  0.747  0.940  0.687
Fe  0.440  0.247  0.687
Nd  0.543  0.043  0.193
Nd  0.650  0.457  0.500
Fe  0.375  0.875  0.130
Fe  0.275  0.008  0.500
Fe  0.000  0.500  0.500
Fe  0.940  0.253  0.193
Nd  0.853  0.853  0.000
Fe  0.492  0.225  0.500
Nd  0.147  0.147  0.000
Fe  0.875  0.745  0.500
Au  0.000  0.000  0.000
Fe  0.560  0.753  0.313
Fe  0.775  0.275  0.267
Nd  0.850  0.350  0.807
Fe  0.253  0.060  0.313
Fe  0.625  0.125  0.870
Fe  0.725  0.992  0.500
Nd  0.647  0.647  0.000
Fe  0.255  0.755  0.130
Fe  0.247  0.560  0.807
Fe  0.992  0.492  0.267
Fe  0.500  0.000  0.500
Au  0.500  0.500  0.000
Fe  0.745  0.245  0.870

Entry 9:
First-principles (GGA-PBE) data for Sm3Si4Pd2Au2 after structural relaxation, as listed in the Open Quantum Materials Database.

**Excess energy over the best structure of this formula in the dataset**: 63.6 meV/atom
**Symmetry**: Immm, No. 71
**Magnetic moment**: 0.025 μB/f.u.

a b c (Å): 12.798 12.798 12.798
angles (deg): 161.22 160.88 26.93
Fractional positions:
Sm  0.645  0.145  0.500
Si  0.452  0.452  0.000
Pd  0.906  0.406  0.500
Si  0.189  0.689  0.500
Pd  0.094  0.594  0.500
Sm  0.355  0.855  0.500
Au  0.250  0.250  0.000
Au  0.750  0.750  0.000
Si  0.811  0.311  0.500
Sm  0.000  0.000  0.000
Si  0.548  0.548  0.000

Entry 10:
First-principles (GGA-PBE) data for Na4GaSiAu2 after structural relaxation, as listed in the Open Quantum Materials Database.

**Symmetry**: P-4m2, No. 115
**Total energy**: -2.6529 eV per atom

a b c (Å): 4.788 4.788 6.777
angles (deg): 90.00 90.00 90.00
Fractional positions:
Na  0.500  0.500  0.000
Au  0.500  0.000  0.261
Na  0.000  0.500  0.253
Na  0.500  0.000  0.747
Ga  0.000  0.000  0.000
Na  0.000  0.000  0.500
Si  0.500  0.500  0.500
Au  0.000  0.500  0.739

Entry 11:
First-principles (GGA-PBE) data for TbNd2Mg3Pt3 after structural relaxation, as listed in the Open Quantum Materials Database.

**Symmetry**: Amm2, No. 38
**Total energy**: -5.0270 eV per atom
**Magnetic moment**: 0.011 μB/f.u.

a b c (Å): 4.114 7.485 7.485
angles (deg): 119.94 90.00 90.00
Fractional positions:
Mg  0.500  0.003  0.243
Nd  0.000  0.001  0.588
Tb  0.000  0.409  0.409
Pt  0.000  0.005  0.005
Nd  0.000  0.588  0.001
Pt  0.500  0.336  0.660
Pt  0.500  0.660  0.336
Mg  0.500  0.756  0.756
Mg  0.500  0.243  0.003

Entry 12:
First-principles (GGA-PBE) data for TaBeBOs after structural relaxation, as listed in the Open Quantum Materials Database.

**Excess energy over the best structure of this formula in the dataset**: 338.4 meV/atom
**Symmetry**: F-43m, No. 216
**Magnetic moment**: 0.000 μB/f.u.

a b c (Å): 4.136 4.136 4.136
angles (deg): 60.00 60.00 60.00
Fractional positions:
Be  0.750  0.750  0.750
Os  0.000  0.000  0.000
Ta  0.250  0.250  0.250
B  0.500  0.500  0.500